# Cd2Hg2As PBE optimized geometry
data_Cd2Hg2As
_cell_length_a 8.308
_cell_length_b 8.308
_cell_length_c 3.443
_cell_angle_alpha 90.00
_cell_angle_beta 90.00
_cell_angle_gamma 90.00
_symmetry_space_group_name_H-M 'P 4/m b m'
_symmetry_Int_Tables_number 127
_symmetry_space_group_name_Hall '-P 4 2ab'
loop_
_atom_site_label
_atom_site_type_symbol
_atom_site_fract_x
_atom_site_fract_y
_atom_site_fract_z
Cd1 Cd 0.128 0.372 0.000
Hg1 Hg 0.174 0.674 0.500
As1 As 0.000 0.000 0.500
# Excess energy over the best structure of this formula in the dataset   27 meV/atom

=====

# CdHg2As PBE optimized geometry
data_CdHg2As
_cell_length_a 14.160
_cell_length_b 3.929
_cell_length_c 3.930
_cell_angle_alpha 90.00
_cell_angle_beta 105.22
_cell_angle_gamma 90.00
_symmetry_space_group_name_H-M 'C 1 2/m 1'
_symmetry_Int_Tables_number 12
loop_
_symmetry_equiv_pos_as_xyz
'x,y,z'
'-x,-y,-z'
'-x,y,-z'
'x,-y,z'
'x+1/2,y+1/2,z'
'-x+1/2,-y+1/2,-z'
'-x+1/2,y+1/2,-z'
'x+1/2,-y+1/2,z'
loop_
_atom_site_label
_atom_site_type_symbol
_atom_site_fract_x
_atom_site_fract_y
_atom_site_fract_z
Cd1 Cd 0.000 0.000 0.000
Hg1 Hg 0.206 0.500 0.708
As1 As 0.000 0.500 0.500
# Excess energy over the best structure of this formula in the dataset   0 meV/atom

=====

The total moment results, record by record, are as follows: 0.00 0.00 μB per cell.
The ρ results, record by record, are as follows: 9.80 9.26 Mg/m³.
The ΔH_f (0 K) results, record by record, are as follows: 230 82 meV/atom.